Below is an optimized crystal structure of PdWCl3, with properties calculated at the PBEsol level.

## Properties
Mass density: 6.45 g/cm3
Symmetry: Pm-3m (221)
Uncorrected formation energy: 0.406 eV/atom

Unit cell a=4.6731 b=4.6731 c=4.6731 alpha=90.00 beta=90.00 gamma=90.00
Last column: nearest neighbours and their distance in Å.
Positions (direct):
Pd  0.0000  0.0000  0.0000  12 Cl 3.30
W  0.5000  0.5000  0.5000  6 Cl 2.34
Cl  0.0000  0.5000  0.5000  2 W 2.34
Cl  0.5000  0.0000  0.5000  2 W 2.34
Cl  0.5000  0.5000  0.0000  2 W 2.34